(1)
# Sm2FeSi3Pt4

A relaxed structure of Sm2FeSi3Pt4 (PBE, Alexandria via LeMat-Bulk).

Cell: 4.2271 4.2271 9.9887 Å, 90.00 90.00 90.00°
Space group P-4m2 (No. 115)
Inequivalent atoms, fractional coordinates:
Sm 0.0000 0.5000 0.2434 x2
Fe 0.5000 0.5000 0.0000 x1
Si 0.0000 0.0000 0.0000 x1
Si 0.0000 0.5000 0.6323 x2
Pt 0.0000 0.0000 0.5000 x1
Pt 0.0000 0.5000 0.8695 x2
Pt 0.5000 0.5000 0.5000 x1

Computed properties:
Its formation energy without anion corrections is -985.0 meV per atom. The magnetization is 2.8 μB per formula unit.

(2)
# LaTl3

A relaxed structure of LaTl3 (PBE, Alexandria via LeMat-Bulk).

Cell: 3.6432 3.6432 10.8640 Å, 90.00 90.00 120.00°
Space group P-6m2 (No. 187)
Inequivalent atoms, fractional coordinates:
La 0.0000 0.0000 0.0000 x1
Tl 0.0000 0.0000 0.5000 x1
Tl 0.6667 0.3333 0.2544 x2

Computed properties:
The magnetization is 0.0 μB per formula unit. Its energy of formation from the pure elements is -0.10 eV/atom.

(3)
# RbIr

A relaxed structure of RbIr (PBE, Alexandria via LeMat-Bulk).

Cell: 12.1133 12.1133 4.3889 Å, 90.00 90.00 120.00°
Space group P6_3/mmc (No. 194)
Inequivalent atoms, fractional coordinates:
Rb 0.2115 0.4231 0.2500 x6
Ir 0.0414 0.5207 0.7500 x6

Computed properties:
The magnetization is 0.0 μB per formula unit. Its energy of formation from the pure elements is 0.66 eV/atom. The value obtained for the excess energy over the best structure of this formula in the dataset is 0.563 eV per formula unit.

(4)
# ZrSbHI2

A relaxed structure of ZrSbHI2 (PBE, Alexandria via LeMat-Bulk).

Cell: 5.4529 5.4529 3.8780 Å, 90.00 90.00 90.00°
Space group P4/mmm (No. 123)
Inequivalent atoms, fractional coordinates:
Zr 0.0000 0.0000 0.0000 x1
Sb 0.5000 0.5000 0.0000 x1
H 0.5000 0.5000 0.5000 x1
I 0.0000 0.5000 0.5000 x2

Computed properties:
The magnetization is 0.0 μB per formula unit. The value obtained for the excess energy over the best structure of this formula in the dataset is 0.652 eV per formula unit.

(5)
# AgHgB2Ru

A relaxed structure of AgHgB2Ru (PBE, Alexandria via LeMat-Bulk).

Cell: 4.0640 4.0640 5.4143 Å, 90.00 90.00 90.00°
Space group P4/mmm (No. 123)
Inequivalent atoms, fractional coordinates:
Ag 0.0000 0.0000 0.0000 x1
Hg 0.5000 0.5000 0.5000 x1
B 0.0000 0.5000 0.0000 x2
Ru 0.0000 0.0000 0.5000 x1

Computed properties:
The magnetization is 1.8 μB per formula unit. Its energy of formation from the pure elements is 1.80 eV/atom.

(6)
# SrHfCr2

A relaxed structure of SrHfCr2 (PBE, Alexandria via LeMat-Bulk).

Cell: 4.9898 4.9898 17.9878 Å, 90.00 90.00 90.00°
Space group I4_1/amd (No. 141, origin choice 2)
Inequivalent atoms, fractional coordinates:
Sr 0.0000 0.2500 0.3750 x4
Hf 0.0000 0.2500 0.8750 x4
Cr 0.0000 0.0000 0.0000 x8

Computed properties:
The magnetization is 4.9 μB per formula unit. Its energy of formation from the pure elements is 1.24 eV/atom. The value obtained for the excess energy over the best structure of this formula in the dataset is 1.596 eV per formula unit.

(7)
# Ac5Cu2Hg2

A relaxed structure of Ac5Cu2Hg2 (PBE, Alexandria via LeMat-Bulk).

Cell: 17.6773 8.0327 8.3671 Å, 90.00 90.00 90.00°
Space group Cmce (No. 64)
Inequivalent atoms, fractional coordinates:
Ac 0.0000 0.0000 0.0000 x4
Ac 0.1313 0.1772 0.3226 x16
Cu 0.0000 0.1123 0.6139 x8
Hg 0.2185 0.0000 0.0000 x8

Computed properties:
The magnetization is 0.0 μB per formula unit. Its energy of formation from the pure elements is -0.20 eV/atom.

(8)
# Al7GaAg4

A relaxed structure of Al7GaAg4 (PBE, Alexandria via LeMat-Bulk).

Cell: 2.9409 2.9409 27.1908 Å, 90.00 90.00 120.00°
Space group P-3m1 (No. 164)
Inequivalent atoms, fractional coordinates:
Al 0.0000 0.0000 0.0000 x1
Al 0.0000 0.0000 0.2475 x2
Al 0.3333 0.6667 0.1649 x2
Al 0.3333 0.6667 0.4132 x2
Ga 0.0000 0.0000 0.5000 x1
Ag 0.3333 0.6667 0.6701 x2
Ag 0.3333 0.6667 0.9174 x2

Computed properties:
The magnetization is 0.0 μB per formula unit. Its energy of formation from the pure elements is -0.03 eV/atom.

(9)
# AgGeO2F

A relaxed structure of AgGeO2F (PBE, Alexandria via LeMat-Bulk).

Cell: 4.1107 4.1107 4.1456 Å, 90.00 90.00 90.00°
Space group P4/mmm (No. 123)
Inequivalent atoms, fractional coordinates:
Ag 0.0000 0.0000 0.0000 x1
Ge 0.5000 0.5000 0.5000 x1
O 0.0000 0.5000 0.0000 x2
F 0.0000 0.0000 0.5000 x1

Computed properties:
Its formation energy without anion corrections is -185.8 meV per atom. The magnetization is 0.0 μB per formula unit.

(10)
# GdTmNiIr

A relaxed structure of GdTmNiIr (PBE, Alexandria via LeMat-Bulk).

Cell: 6.8030 6.8030 6.8030 Å, 90.00 90.00 90.00°
Space group F-43m (No. 216)
Inequivalent atoms, fractional coordinates:
Gd 0.0000 0.0000 0.0000 x4
Tm 0.0000 0.0000 0.5000 x4
Ni 0.2500 0.2500 0.2500 x4
Ir 0.2500 0.2500 0.7500 x4

Computed properties:
The magnetization is 7.0 μB per formula unit. Its energy of formation from the pure elements is -0.65 eV/atom.

(11)
# Tb5PrCd3

A relaxed structure of Tb5PrCd3 (PBE, Alexandria via LeMat-Bulk).

Cell: 9.2630 9.2630 7.0104 Å, 90.00 90.00 120.00°
Space group P6_3/mcm (No. 193)
Inequivalent atoms, fractional coordinates:
Tb 0.0000 0.3321 0.2500 x6
Tb 0.3333 0.6667 0.0000 x4
Pr 0.0000 0.0000 0.0000 x2
Cd 0.0000 0.3390 0.7500 x6

Computed properties:
The magnetization is 0.0 μB per formula unit. Its energy of formation from the pure elements is -0.17 eV/atom.

(12)
# Cs3Mn2TlCl8

A relaxed structure of Cs3Mn2TlCl8 (PBE, Alexandria via LeMat-Bulk).

Cell: 7.8421 7.8421 9.8972 Å, 90.00 90.00 120.00°
Space group P-3m1 (No. 164)
Inequivalent atoms, fractional coordinates:
Cs 0.0000 0.0000 0.0000 x1
Cs 0.3333 0.6667 0.6308 x2
Mn 0.3333 0.6667 0.1982 x2
Tl 0.0000 0.0000 0.5000 x1
Cl 0.1751 0.3502 0.2989 x6
Cl 0.3333 0.6667 0.9667 x2

Computed properties:
Its formation energy without anion corrections is -1495.0 meV per atom. The magnetization is 10.0 μB per formula unit.

(13)
# SmMgCdCu

A relaxed structure of SmMgCdCu (PBE, Alexandria via LeMat-Bulk).

Cell: 7.0361 7.0361 7.0361 Å, 90.00 90.00 90.00°
Space group F-43m (No. 216)
Inequivalent atoms, fractional coordinates:
Sm 0.0000 0.0000 0.0000 x4
Mg 0.0000 0.0000 0.5000 x4
Cd 0.2500 0.2500 0.7500 x4
Cu 0.2500 0.2500 0.2500 x4

Computed properties:
The magnetization is 0.0 μB per formula unit. Its energy of formation from the pure elements is -0.22 eV/atom.

(14)
# KNa5In

A relaxed structure of KNa5In (PBE, Alexandria via LeMat-Bulk).

Cell: 4.8600 4.8600 11.9921 Å, 90.00 90.00 90.00°
Space group P4/mmm (No. 123)
Inequivalent atoms, fractional coordinates:
K 0.0000 0.0000 0.0000 x1
Na 0.0000 0.0000 0.5000 x1
Na 0.0000 0.5000 0.2885 x4
In 0.5000 0.5000 0.5000 x1

Computed properties:
The magnetization is 0.0 μB per formula unit. Its energy of formation from the pure elements is 0.01 eV/atom.

(15)
# LiEr4Cu5

A relaxed structure of LiEr4Cu5 (PBE, Alexandria via LeMat-Bulk).

Cell: 3.3834 3.3834 16.5801 Å, 90.00 90.00 90.00°
Space group P4/mmm (No. 123)
Inequivalent atoms, fractional coordinates:
Li 0.0000 0.0000 0.0000 x1
Er 0.0000 0.0000 0.1827 x2
Er 0.0000 0.0000 0.3943 x2
Cu 0.5000 0.5000 0.0769 x2
Cu 0.5000 0.5000 0.2886 x2
Cu 0.5000 0.5000 0.5000 x1

Computed properties:
The magnetization is 0.0 μB per formula unit. Its energy of formation from the pure elements is -0.20 eV/atom.

(16)
# GaP2PdCl

A relaxed structure of GaP2PdCl (PBE, Alexandria via LeMat-Bulk).

Cell: 4.7117 4.7117 4.7162 Å, 90.00 90.00 90.00°
Space group P4/mmm (No. 123)
Inequivalent atoms, fractional coordinates:
Ga 0.0000 0.0000 0.0000 x1
P 0.0000 0.5000 0.0000 x2
Pd 0.5000 0.5000 0.5000 x1
Cl 0.0000 0.0000 0.5000 x1

Computed properties:
Its formation energy without anion corrections is 753.2 meV per atom. The magnetization is 0.0 μB per formula unit. The value obtained for the excess energy over the best structure of this formula in the dataset is 2.022 eV per formula unit.

(17)
# LiMgIn3

A relaxed structure of LiMgIn3 (PBE, Alexandria via LeMat-Bulk).

Cell: 5.0523 5.0523 5.0523 Å, 90.00 90.00 90.00°
Space group Pm-3m (No. 221)
Inequivalent atoms, fractional coordinates:
Li 0.0000 0.0000 0.0000 x1
Mg 0.5000 0.5000 0.5000 x1
In 0.0000 0.0000 0.5000 x3

Computed properties:
The magnetization is 0.0 μB per formula unit. Its energy of formation from the pure elements is 0.15 eV/atom. The value obtained for the excess energy over the best structure of this formula in the dataset is 1.350 eV per formula unit.

(18)
# Dy2MgTc

A relaxed structure of Dy2MgTc (PBE, Alexandria via LeMat-Bulk).

Cell: 3.3776 3.3776 32.2835 Å, 90.00 90.00 120.00°
Space group R-3m (No. 166, hexagonal axes)
Inequivalent atoms, fractional coordinates:
Dy 0.0000 0.0000 0.1038 x6
Mg 0.0000 0.0000 0.0000 x3
Tc 0.0000 0.0000 0.5000 x3

Computed properties:
The magnetization is 0.0 μB per formula unit. Its energy of formation from the pure elements is 0.26 eV/atom.

(19)
# SrLi2Hg

A relaxed structure of SrLi2Hg (PBE, Alexandria via LeMat-Bulk).

Cell: 3.9943 5.4729 9.8900 Å, 90.00 90.00 90.00°
Space group Immm (No. 71)
Inequivalent atoms, fractional coordinates:
Sr 0.0000 0.0000 0.0000 x2
Li 0.0000 0.5000 0.2074 x4
Hg 0.0000 0.0000 0.5000 x2

Computed properties:
The magnetization is 0.0 μB per formula unit. Its energy of formation from the pure elements is -0.21 eV/atom.

(20)
# NdEr5Al4

A relaxed structure of NdEr5Al4 (PBE, Alexandria via LeMat-Bulk).

Cell: 3.5575 3.5575 19.6154 Å, 90.00 90.00 90.00°
Space group P4/mmm (No. 123)
Inequivalent atoms, fractional coordinates:
Nd 0.0000 0.0000 0.0000 x1
Er 0.5000 0.5000 0.1337 x2
Er 0.5000 0.5000 0.3177 x2
Er 0.5000 0.5000 0.5000 x1
Al 0.0000 0.0000 0.2255 x2
Al 0.0000 0.0000 0.4087 x2

Computed properties:
The magnetization is 0.0 μB per formula unit. Its energy of formation from the pure elements is -0.31 eV/atom.

(21)
# CaRh2Pb

A relaxed structure of CaRh2Pb (PBE, Alexandria via LeMat-Bulk).

Cell: 3.4507 3.4507 24.5362 Å, 90.00 90.00 120.00°
Space group R-3m (No. 166, hexagonal axes)
Inequivalent atoms, fractional coordinates:
Ca 0.0000 0.0000 0.0000 x3
Rh 0.0000 0.0000 0.2442 x6
Pb 0.0000 0.0000 0.5000 x3

Computed properties:
The magnetization is 0.0 μB per formula unit. Its energy of formation from the pure elements is 0.06 eV/atom.

(22)
# Tb5PmS6

A relaxed structure of Tb5PmS6 (PBE, Alexandria via LeMat-Bulk).

Cell: 6.8313 11.8586 6.8237 Å, 90.00 109.66 90.00°
Space group C2/m (No. 12)
Inequivalent atoms, fractional coordinates:
Tb 0.0000 0.0000 0.0000 x2
Tb 0.0000 0.1659 0.5000 x4
Tb 0.0000 0.3362 0.0000 x4
Pm 0.0000 0.5000 0.5000 x2
S 0.2449 0.0000 0.7518 x4
S 0.2459 0.1698 0.2461 x8

Computed properties:
Its formation energy without anion corrections is -2016.2 meV per atom. The magnetization is 0.0 μB per formula unit.

(23)
# V6Re2Tc

A relaxed structure of V6Re2Tc (PBE, Alexandria via LeMat-Bulk).

Cell: 4.2803 4.2803 7.8380 Å, 90.00 90.00 120.00°
Space group P-3m1 (No. 164)
Inequivalent atoms, fractional coordinates:
V 0.0000 0.0000 0.1714 x2
V 0.3333 0.6667 0.3906 x2
V 0.3333 0.6667 0.7242 x2
Re 0.3333 0.6667 0.0573 x2
Tc 0.0000 0.0000 0.5000 x1

Computed properties:
The magnetization is 0.0 μB per formula unit. Its energy of formation from the pure elements is -0.28 eV/atom. The value obtained for the excess energy over the best structure of this formula in the dataset is 0.000 eV per formula unit.

(24)
# LiAlGaHg

A relaxed structure of LiAlGaHg (PBE, Alexandria via LeMat-Bulk).

Cell: 6.6459 6.6459 6.6459 Å, 90.00 90.00 90.00°
Space group F-43m (No. 216)
Inequivalent atoms, fractional coordinates:
Li 0.0000 0.0000 0.0000 x4
Al 0.0000 0.0000 0.5000 x4
Ga 0.2500 0.2500 0.7500 x4
Hg 0.2500 0.2500 0.2500 x4

Computed properties:
The magnetization is 0.0 μB per formula unit. Its energy of formation from the pure elements is -0.11 eV/atom.